# 1
The following is a GGA-PBE calculation of an optimized crystal structure of AlCoSnS2, from Alexandria.

- Total magnetization: 0.00 Bohr magnetons per cell
- ΔE_f (raw): 0.174 eV per atom
- Calculated volume: 95 Å³/cell
- SG: P4/mmm (123)

abc: 4.601 4.601 4.477
angles: 90.00 90.00 90.00
Positions (direct):
Al 0.000 0.000 0.000
Co 0.000 0.000 0.500
Sn 0.500 0.500 0.000
S 0.000 0.500 0.500
S 0.500 0.000 0.500

***

# 2
The following is a GGA-PBE calculation of an optimized crystal structure of Tm7Mg2Tc2, from Alexandria.

- Total magnetization: 0.00 Bohr magnetons per cell
- Calculated volume: 299 Å³/cell
- SG: Cmmm (65)
- E_form: 0.86 eV per formula unit

abc: 6.521 6.521 7.836
angles: 90.00 90.00 116.19
Positions (direct):
Tm 0.000 0.000 0.000
Tm 0.000 0.500 0.268
Tm 0.000 0.500 0.732
Tm 0.500 0.000 0.268
Tm 0.500 0.000 0.732
Tm 0.500 0.500 0.204
Tm 0.500 0.500 0.796
Mg 0.196 0.196 0.500
Mg 0.804 0.804 0.500
Tc 0.299 0.701 0.000
Tc 0.701 0.299 0.000

***

# 3
The following is a GGA-PBE calculation of an optimized crystal structure of Li2SbPb, from Alexandria.

- Total magnetization: 0.00 Bohr magnetons per cell
- Excess energy over the best structure of this formula in the dataset: 228 meV per atom
- ΔE_f (raw): -0.141 eV per atom
- Calculated volume: 91 Å³/cell
- SG: P4mm (99)

abc: 3.357 3.357 8.106
angles: 90.00 90.00 90.00
Positions (direct):
Li 0.000 0.000 0.000
Li 0.500 0.500 0.193
Sb 0.500 0.500 0.799
Pb 0.000 0.000 0.432

***

# 4
The following is a GGA-PBE calculation of an optimized crystal structure of KTm3As4O12, from Alexandria.

- Total magnetization: 0.00 Bohr magnetons per cell
- ΔE_f (raw): -1.880 eV per atom
- Calculated volume: 328 Å³/cell
- SG: R32 (155)

abc: 7.178 7.178 7.178
angles: 104.30 104.30 104.30
Positions (direct):
K 0.000 0.000 0.000
Tm 0.000 0.569 0.431
Tm 0.431 0.000 0.569
Tm 0.569 0.431 0.000
As 0.081 0.500 0.919
As 0.500 0.500 0.500
As 0.500 0.919 0.081
As 0.919 0.081 0.500
O 0.017 0.260 0.384
O 0.076 0.924 0.500
O 0.260 0.384 0.017
O 0.328 0.672 0.500
O 0.384 0.017 0.260
O 0.500 0.076 0.924
O 0.500 0.328 0.672
O 0.616 0.740 0.983
O 0.672 0.500 0.328
O 0.740 0.983 0.616
O 0.924 0.500 0.076
O 0.983 0.616 0.740

***

# 5
The following is a GGA-PBE calculation of an optimized crystal structure of ErTm2MgRh4, from Alexandria.

- Total magnetization: 0.00 Bohr magnetons per cell
- Calculated volume: 147 Å³/cell
- SG: R-3m (166)
- E_form: -7.04 eV per formula unit

abc: 8.144 8.144 8.144
angles: 33.51 33.51 33.51
Positions (direct):
Er 0.000 0.000 0.000
Tm 0.245 0.245 0.245
Tm 0.755 0.755 0.755
Mg 0.500 0.500 0.500
Rh 0.125 0.125 0.125
Rh 0.376 0.376 0.376
Rh 0.624 0.624 0.624
Rh 0.875 0.875 0.875

***

# 6
The following is a GGA-PBE calculation of an optimized crystal structure of BaTe2IO, from Alexandria.

- Total magnetization: 5.00 Bohr magnetons per cell
- Excess energy over the best structure of this formula in the dataset: 1184 meV per atom
- ΔE_f (raw): 0.384 eV per atom
- Calculated volume: 329 Å³/cell
- SG: P4/mmm (123)

abc: 6.999 6.999 6.712
angles: 90.00 90.00 90.00
Positions (direct):
Ba 0.000 0.000 0.000
Te 0.000 0.500 0.000
Te 0.500 0.000 0.000
I 0.000 0.000 0.500
O 0.500 0.500 0.500

***

# 7
The following is a GGA-PBE calculation of an optimized crystal structure of Rb4HgCl5, from Alexandria.

- Total magnetization: 0.00 Bohr magnetons per cell
- ΔE_f (raw): -1.575 eV per atom
- Calculated volume: 357 Å³/cell
- SG: I4 (79)

abc: 8.088 8.088 8.088
angles: 99.38 99.38 132.39
Positions (direct):
Rb 0.101 0.298 0.399
Rb 0.298 0.899 0.197
Rb 0.702 0.101 0.803
Rb 0.899 0.702 0.601
Hg 0.520 0.520 0.000
Cl 0.207 0.594 0.803
Cl 0.404 0.207 0.613
Cl 0.594 0.792 0.387
Cl 0.792 0.404 0.197
Cl 0.964 0.964 0.000

***

# 8
The following is a GGA-PBE calculation of an optimized crystal structure of CsTl2TcGe, from Alexandria.

- Total magnetization: 0.00 Bohr magnetons per cell
- Calculated volume: 148 Å³/cell
- SG: P4/mmm (123)
- E_form: 0.29 eV per formula unit

abc: 5.477 5.477 4.926
angles: 90.00 90.00 90.00
Positions (direct):
Cs 0.000 0.000 0.000
Tl 0.000 0.500 0.500
Tl 0.500 0.000 0.500
Tc 0.500 0.500 0.500
Ge 0.500 0.500 0.000

***

# 9
The following is a GGA-PBE calculation of an optimized crystal structure of Ba8TePd2, from Alexandria.

- Total magnetization: 0.12 Bohr magnetons per cell
- ΔE_f (raw): -0.307 eV per atom
- Calculated volume: 645 Å³/cell
- SG: P-1 (2)

abc: 6.694 10.543 10.546
angles: 60.05 89.99 89.99
Positions (direct):
Ba 0.244 0.333 0.333
Ba 0.251 0.334 0.835
Ba 0.251 0.832 0.334
Ba 0.251 0.834 0.832
Ba 0.749 0.166 0.168
Ba 0.749 0.168 0.666
Ba 0.749 0.666 0.165
Ba 0.756 0.667 0.667
Te 0.500 0.000 0.000
Pd 0.268 0.667 0.667
Pd 0.732 0.333 0.333

***

# 10
The following is a GGA-PBE calculation of an optimized crystal structure of K2AsBr5, from Alexandria.

- Total magnetization: 0.00 Bohr magnetons per cell
- Excess energy over the best structure of this formula in the dataset: 0 meV per atom
- ΔE_f (raw): -1.081 eV per atom
- Calculated volume: 295 Å³/cell
- SG: I4mm (107)

abc: 7.303 7.303 7.303
angles: 113.91 113.91 100.93
Positions (direct):
K 0.000 0.500 0.500
K 0.500 0.000 0.500
As 0.263 0.263 0.000
Br 0.010 0.010 0.526
Br 0.010 0.484 0.000
Br 0.484 0.010 0.000
Br 0.484 0.484 0.474
Br 0.518 0.518 0.000

***

# 11
The following is a GGA-PBE calculation of an optimized crystal structure of Zr4TcPt, from Alexandria.

- Total magnetization: 0.00 Bohr magnetons per cell
- Excess energy over the best structure of this formula in the dataset: 0 meV per atom
- Calculated volume: 118 Å³/cell
- SG: P4/mmm (123)
- E_form: -2.94 eV per formula unit

abc: 3.365 3.365 10.453
angles: 90.00 90.00 90.00
Positions (direct):
Zr 0.000 0.000 0.152
Zr 0.000 0.000 0.848
Zr 0.500 0.500 0.342
Zr 0.500 0.500 0.658
Tc 0.500 0.500 0.000
Pt 0.000 0.000 0.500

***

# 12
The following is a GGA-PBE calculation of an optimized crystal structure of CoCl, from Alexandria.

- Total magnetization: 4.00 Bohr magnetons per cell
- ΔE_f (raw): 0.379 eV per atom
- Calculated volume: 67 Å³/cell
- SG: I4_1/amd (141)

abc: 6.309 6.309 6.309
angles: 148.73 148.73 44.81
Positions (direct):
Co 0.375 0.625 0.750
Co 0.625 0.375 0.250
Cl 0.125 0.875 0.250
Cl 0.875 0.125 0.750

***

# 13
The following is a GGA-PBE calculation of an optimized crystal structure of Ta3Be4Co2, from Alexandria.

- Total magnetization: 0.00 Bohr magnetons per cell
- Calculated volume: 107 Å³/cell
- SG: C2/m (12)
- E_form: -1.77 eV per formula unit

abc: 4.872 4.872 7.048
angles: 109.55 109.55 43.50
Positions (direct):
Ta 0.000 0.000 0.000
Ta 0.366 0.366 0.304
Ta 0.634 0.634 0.696
Be 0.080 0.080 0.408
Be 0.278 0.278 0.935
Be 0.722 0.722 0.065
Be 0.920 0.920 0.592
Co 0.321 0.321 0.649
Co 0.679 0.679 0.351

***

# 14
The following is a GGA-PBE calculation of an optimized crystal structure of DyY3Au2, from Alexandria.

- Total magnetization: 0.00 Bohr magnetons per cell
- Excess energy over the best structure of this formula in the dataset: 180 meV per atom
- Calculated volume: 359 Å³/cell
- SG: Ibam (72)
- E_form: -2.77 eV per formula unit

abc: 8.609 8.609 8.609
angles: 131.75 72.38 129.55
Positions (direct):
Dy 0.000 0.000 0.000
Dy 0.500 0.500 0.000
Y 0.017 0.250 0.767
Y 0.250 0.750 0.500
Y 0.483 0.250 0.233
Y 0.517 0.750 0.767
Y 0.750 0.250 0.500
Y 0.983 0.750 0.233
Au 0.141 0.707 0.848
Au 0.359 0.207 0.566
Au 0.641 0.793 0.434
Au 0.859 0.293 0.152

***

# 15
The following is a GGA-PBE calculation of an optimized crystal structure of La2Dy2In3, from Alexandria.

- Total magnetization: 0.00 Bohr magnetons per cell
- Excess energy over the best structure of this formula in the dataset: 30 meV per atom
- Calculated volume: 205 Å³/cell
- SG: Cmmm (65)
- E_form: -2.37 eV per formula unit

abc: 12.664 12.664 3.467
angles: 90.00 90.00 158.35
Positions (direct):
La 0.074 0.926 0.000
La 0.926 0.074 0.000
Dy 0.206 0.794 0.000
Dy 0.794 0.206 0.000
In 0.345 0.655 0.500
In 0.500 0.500 0.500
In 0.655 0.345 0.500

***

# 16
The following is a GGA-PBE calculation of an optimized crystal structure of ReAg3Se, from Alexandria.

- Total magnetization: 4.11 Bohr magnetons per cell
- Excess energy over the best structure of this formula in the dataset: 0 meV per atom
- ΔE_f (raw): 1.441 eV per atom
- Calculated volume: 124 Å³/cell
- SG: Pm-3m (221)

abc: 4.991 4.991 4.991
angles: 90.00 90.00 90.00
Positions (direct):
Re 0.000 0.000 0.000
Ag 0.000 0.500 0.500
Ag 0.500 0.000 0.500
Ag 0.500 0.500 0.000
Se 0.500 0.500 0.500

***

# 17
The following is a GGA-PBE calculation of an optimized crystal structure of ErS2, from Alexandria.

- Total magnetization: 0.00 Bohr magnetons per cell
- ΔE_f (raw): -1.651 eV per atom
- Calculated volume: 116 Å³/cell
- SG: P4/nmm (129)

abc: 3.828 3.828 7.909
angles: 90.00 90.00 90.00
Positions (direct):
Er 0.250 0.250 0.226
Er 0.750 0.750 0.774
S 0.250 0.250 0.869
S 0.250 0.750 0.500
S 0.750 0.250 0.500
S 0.750 0.750 0.131

***

# 18
The following is a GGA-PBE calculation of an optimized crystal structure of ScHg4Os, from Alexandria.

- Total magnetization: 0.23 Bohr magnetons per cell
- Calculated volume: 124 Å³/cell
- SG: F-43m (216)
- E_form: 3.29 eV per formula unit

abc: 5.599 5.599 5.599
angles: 60.00 60.00 60.00
Positions (direct):
Sc 0.000 0.000 0.000
Hg 0.126 0.625 0.625
Hg 0.625 0.126 0.625
Hg 0.625 0.625 0.126
Hg 0.625 0.625 0.625
Os 0.250 0.250 0.250

***

# 19
The following is a GGA-PBE calculation of an optimized crystal structure of MnIrS4, from Alexandria.

- Total magnetization: 0.01 Bohr magnetons per cell
- Excess energy over the best structure of this formula in the dataset: 0 meV per atom
- ΔE_f (raw): -0.469 eV per atom
- Calculated volume: 172 Å³/cell
- SG: P2_1/c (14)

abc: 5.566 5.562 5.566
angles: 90.00 90.37 90.00
Positions (direct):
Mn 0.000 0.000 0.000
Mn 0.000 0.500 0.500
Ir 0.500 0.000 0.500
Ir 0.500 0.500 0.000
S 0.106 0.125 0.626
S 0.106 0.375 0.126
S 0.370 0.610 0.609
S 0.370 0.890 0.109
S 0.630 0.110 0.891
S 0.630 0.390 0.391
S 0.894 0.625 0.874
S 0.894 0.875 0.374

***

# 20
The following is a GGA-PBE calculation of an optimized crystal structure of K5InPb6, from Alexandria.

- Total magnetization: 0.00 Bohr magnetons per cell
- Calculated volume: 515 Å³/cell
- SG: C2/m (12)
- E_form: -0.58 eV per formula unit

abc: 7.658 7.658 10.319
angles: 96.48 96.48 119.09
Positions (direct):
K 0.000 0.000 0.000
K 0.164 0.836 0.500
K 0.302 0.698 0.000
K 0.698 0.302 0.000
K 0.836 0.164 0.500
In 0.500 0.500 0.500
Pb 0.181 0.423 0.266
Pb 0.346 0.346 0.746
Pb 0.423 0.181 0.266
Pb 0.577 0.819 0.734
Pb 0.654 0.654 0.254
Pb 0.819 0.577 0.734